Material: Sr2CaBiMo
Method: DFT, PBE
State: relaxed

The volume is 47.763 Å³ per atom. The calculation puts the density of states at the Fermi level at 5.57 states/eV/f.u. Its magnetization is 4.508 μB per formula unit. For the calculated total energy, the calculation gives -2.81 eV per atom. As for the mass density: 3.62 g cm⁻³.

The structure belongs to space group P4/mmm (No. 123); the cell edges are 6.501, 6.501 and 5.650 Å and the angles 90.00°, 90.00° and 90.00°. Symmetry generates all atoms from Sr at (0.000, 0.500, 0.000), Ca at (0.000, 0.000, 0.000), Bi at (0.000, 0.000, 0.500) and Mo at (0.500, 0.500, 0.500).

=====

Material: TaSbIr2
Method: DFT, PBE
State: relaxed

The volume is 17.613 Å³ per atom. The calculation puts the density of states at the Fermi level at 2.14 states/eV/f.u. Its magnetization is 0.000 μB per formula unit. The value obtained for the uncorrected formation energy is -0.15 eV per atom. As for the mass density: 16.20 g cm⁻³.

The structure belongs to space group Amm2 (No. 38); the cell edges are 4.219, 3.140 and 10.637 Å and the angles 90.00°, 90.00° and 90.00°. Symmetry generates all atoms from Ta at (0.000, 0.000, 0.000), Sb at (0.500, 0.000, 0.303), Ir at (0.000, 0.000, 0.732) and Ir at (0.500, 0.000, 0.551).

=====

Material: Ti3CSe3
Method: DFT, PBE
State: relaxed

The volume is 17.152 Å³ per atom. The calculation puts the density of states at the Fermi level at 2.54 states/eV/f.u. Its magnetization is 0.000 μB per formula unit. The value obtained for the uncorrected formation energy is -1.06 eV per atom. As for the mass density: 5.43 g cm⁻³.

The structure belongs to space group P2_1/m (No. 11); the cell edges are 7.181, 3.362 and 9.947 Å and the angles 90.00°, 91.02° and 90.00°. Symmetry generates all atoms from Ti at (0.095, 0.250, 0.396), Ti at (0.113, 0.250, 0.829), Ti at (0.307, 0.750, 0.617), C at (0.114, 0.250, 0.617), Se at (0.140, 0.250, 0.129), Se at (0.371, 0.750, 0.867) and Se at (0.379, 0.750, 0.372).

=====

Material: TmPuSn2
Method: DFT, PBE
State: relaxed

The volume is 26.303 Å³ per atom. The calculation puts the density of states at the Fermi level at 10.72 states/eV/f.u. Its magnetization is 6.097 μB per formula unit. For the calculated total energy, the calculation gives -7.15 eV per atom. As for the mass density: 10.26 g cm⁻³.

The structure belongs to space group P4/mmm (No. 123); the cell edges are 3.934, 3.934 and 6.797 Å and the angles 90.00°, 90.00° and 90.00°. Symmetry generates all atoms from Tm at (0.000, 0.000, 0.000), Pu at (0.000, 0.000, 0.500) and Sn at (0.500, 0.500, 0.236).

=====

Material: Ac5PrEr2
Method: DFT, PBE
State: relaxed

The volume is 39.800 Å³ per atom. The calculation puts the density of states at the Fermi level at 9.54 states/eV/f.u. Its magnetization is 0.001 μB per formula unit. For the calculated total energy, the calculation gives -4.27 eV per atom. As for the mass density: 8.40 g cm⁻³.

The structure belongs to space group Pbam (No. 55); the cell edges are 7.649, 15.292 and 5.444 Å and the angles 90.00°, 90.00° and 90.00°. Symmetry generates all atoms from Ac at (0.000, 0.000, 0.000), Ac at (0.007, 0.252, 0.000), Ac at (0.243, 0.622, 0.500), Pr at (0.000, 0.500, 0.000) and Er at (0.246, 0.876, 0.500).

=====

Material: LiGaNi2Pd
Method: DFT, PBE
State: relaxed

The volume is 20.713 Å³ per atom. The calculation puts the density of states at the Fermi level at 11.51 states/eV/f.u. Its magnetization is 1.640 μB per formula unit. For the calculated total energy, the calculation gives -3.75 eV per atom. As for the mass density: 4.82 g cm⁻³.

The structure belongs to space group P4/mmm (No. 123); the cell edges are 4.714, 4.714 and 4.660 Å and the angles 90.00°, 90.00° and 90.00°. Symmetry generates all atoms from Li at (0.000, 0.000, 0.000), Ga at (0.500, 0.500, 0.000), Ni at (0.000, 0.500, 0.500) and Pd at (0.500, 0.500, 0.500).

=====

Material: Dy4Tc
Method: DFT, PBE
State: relaxed

The volume is 30.975 Å³ per atom. The energy above the most stable polymorph in this dataset is 0.108 eV per atom. The calculation puts the density of states at the Fermi level at 8.10 states/eV/f.u. Its magnetization is 0.012 μB per formula unit. As for the mass density: 8.02 g cm⁻³.

The structure belongs to space group Pm-3m (No. 221); the cell edges are 5.370, 5.370 and 5.370 Å and the angles 90.00°, 90.00° and 90.00°. Symmetry generates all atoms from Dy at (0.000, 0.000, 0.000), Dy at (0.000, 0.500, 0.500) and Tc at (0.500, 0.500, 0.500).

=====

Material: Rb3Tm2PuS6
Method: DFT, PBE
State: relaxed

The volume is 27.592 Å³ per atom. The calculation puts the density of states at the Fermi level at 12.04 states/eV/f.u. Its magnetization is 5.000 μB per formula unit. The value obtained for the uncorrected formation energy is -1.73 eV per atom. As for the mass density: 5.17 g cm⁻³.

The structure belongs to space group C2/m (No. 12); the cell edges are 7.065, 12.238 and 8.013 Å and the angles 90.00°, 107.10° and 90.00°. Symmetry generates all atoms from Rb at (0.000, 0.000, 0.000), Rb at (0.000, 0.334, 0.000), Tm at (0.000, 0.167, 0.500), Pu at (0.000, 0.500, 0.500), S at (0.223, 0.000, 0.690) and S at (0.233, 0.330, 0.690).